1.
{
  "formula": "Ho2Si2Ni2H",
  "functional": "PBE-GGA",
  "state": "optimized geometry",
  "lattice_angstrom": [[3.951, 0.000, 0.000], [1.976, 5.103, -0.584], [1.976, 1.306, 5.042]],
  "species": ["Ho", "Ho", "Si", "Si", "Ni", "Ni", "H"],
  "frac_coords": [[0.556, 0.182, 0.706], [0.444, 0.818, 0.294], [0.156, 0.385, 0.304], [0.844, 0.615, 0.696], [0.203, 0.685, 0.908], [0.797, 0.315, 0.092], [0.000, 0.000, 0.000]],
  "total_energy_ev_per_atom": -5.744,
  "dos_at_fermi_per_ev_cell": 3.0,
  "m_tot_mub_per_atom": 0.000,
  "space_group": "C2/m (12)"
}

2.
{
  "formula": "HoZnNi2H",
  "functional": "PBE-GGA",
  "state": "optimized geometry",
  "lattice_angstrom": [[3.731, 0.000, 0.000], [-1.866, 5.061, 0.000], [0.000, 0.000, 6.987]],
  "species": ["Ho", "Ho", "Zn", "Zn", "Ni", "Ni", "Ni", "Ni", "H", "H"],
  "frac_coords": [[0.444, 0.888, 0.750], [0.556, 0.112, 0.250], [0.725, 0.450, 0.750], [0.275, 0.550, 0.250], [0.156, 0.312, 0.945], [0.844, 0.688, 0.055], [0.156, 0.312, 0.555], [0.844, 0.688, 0.445], [0.000, 0.000, 0.000], [0.000, 0.000, 0.500]],
  "total_energy_ev_per_atom": -4.533,
  "dos_at_fermi_per_ev_cell": 6.0,
  "m_tot_mub_per_atom": 0.000,
  "space_group": "Cmcm (63)"
}

3.
{
  "formula": "Ho2NpH",
  "functional": "PBE-GGA",
  "state": "optimized geometry",
  "lattice_angstrom": [[3.331, 0.000, 0.000], [1.666, 2.885, 0.000], [1.666, 0.962, 9.291]],
  "species": ["Np", "H", "Ho", "Ho"],
  "frac_coords": [[0.000, 0.000, 0.000], [0.500, 0.500, 0.500], [0.118, 0.118, 0.647], [0.882, 0.882, 0.353]],
  "total_energy_ev_per_atom": -6.097,
  "dos_at_fermi_per_ev_cell": 7.6,
  "m_tot_mub_per_atom": 1.098,
  "space_group": "R-3m (166)"
}

4.
{
  "formula": "HoNpH2",
  "functional": "PBE-GGA",
  "state": "optimized geometry",
  "lattice_angstrom": [[-1.507, 2.415, -1.996], [-3.467, 0.204, -0.163], [-1.650, 4.715, 3.924]],
  "species": ["Np", "H", "H", "Ho"],
  "frac_coords": [[0.000, 0.000, 0.000], [0.123, 0.123, 0.630], [0.877, 0.877, 0.370], [0.500, 0.500, 0.500]],
  "total_energy_ev_per_atom": -6.228,
  "dos_at_fermi_per_ev_cell": 6.9,
  "m_tot_mub_per_atom": 1.076,
  "space_group": "R-3m (166)"
}

5.
{
  "formula": "HoHO",
  "functional": "PBE-GGA",
  "state": "optimized geometry",
  "lattice_angstrom": [[-0.779, -1.562, -3.238], [2.135, -2.697, -1.303], [-3.187, -5.725, 1.438]],
  "species": ["H", "H", "Ho", "Ho", "O", "O"],
  "frac_coords": [[0.358, 0.358, 0.925], [0.642, 0.642, 0.075], [0.000, 0.000, 0.000], [0.500, 0.500, 0.500], [0.115, 0.115, 0.654], [0.885, 0.885, 0.346]],
  "total_energy_ev_per_atom": -6.549,
  "dos_at_fermi_per_ev_cell": 0.0,
  "m_tot_mub_per_atom": 0.000,
  "space_group": "R-3m (166)"
}

6.
{
  "formula": "Ho2HO",
  "functional": "PBE-GGA",
  "state": "optimized geometry",
  "lattice_angstrom": [[-0.879, 3.152, 0.956], [-2.640, 0.469, 2.106], [2.446, 0.813, 5.644]],
  "species": ["Ho", "Ho", "H", "O"],
  "frac_coords": [[0.077, 0.077, 0.768], [0.252, 0.252, 0.244], [0.672, 0.672, 0.984], [0.498, 0.498, 0.505]],
  "total_energy_ev_per_atom": -5.775,
  "dos_at_fermi_per_ev_cell": 2.4,
  "m_tot_mub_per_atom": 0.000,
  "space_group": "R3m (160)"
}

7.
{
  "formula": "HoHO",
  "functional": "PBE-GGA",
  "state": "optimized geometry",
  "lattice_angstrom": [[-0.314, 3.088, -2.061], [0.930, -0.066, -3.608], [-2.648, 0.236, -2.611]],
  "species": ["H", "Ho", "O"],
  "frac_coords": [[0.000, 0.000, 0.000], [0.250, 0.250, 0.250], [0.500, 0.500, 0.500]],
  "total_energy_ev_per_atom": -6.609,
  "dos_at_fermi_per_ev_cell": 0.0,
  "m_tot_mub_per_atom": 0.000,
  "space_group": "F-43m (216)"
}

8.
{
  "formula": "Ho2HO",
  "functional": "PBE-GGA",
  "state": "optimized geometry",
  "lattice_angstrom": [[-1.011, 2.188, 2.460], [0.253, -0.900, 3.315], [4.920, 2.601, 2.120]],
  "species": ["H", "Ho", "Ho", "O"],
  "frac_coords": [[0.000, 0.000, 0.000], [0.247, 0.247, 0.260], [0.753, 0.753, 0.740], [0.500, 0.500, 0.500]],
  "total_energy_ev_per_atom": -5.910,
  "dos_at_fermi_per_ev_cell": 2.4,
  "m_tot_mub_per_atom": 0.000,
  "space_group": "R-3m (166)"
}